Entry from Alexandria: an optimized crystal structure of SmEr3Te3 (PBE).

The calculation puts the size of the total moment at 0.12 μB/atom. As for the space group: R-3, No. 148. Its uncorrected energy is -4.904 eV/atom. As for the crystal system: trigonal.

The structure in CIF format:
```
data_SmEr3Te3
_space_group_name_H-M_alt 'P 1'
_space_group_IT_number 1
_space_group_name_Hall 'P 1'
_cell_length_a 7.141
_cell_length_b 7.141
_cell_length_c 11.139
_cell_angle_alpha 71.30
_cell_angle_beta 71.30
_cell_angle_gamma 60.00
loop_
_atom_site_label
_atom_site_type_symbol
_atom_site_fract_x
_atom_site_fract_y
_atom_site_fract_z
Sm1 Sm 0.333 0.333 0.001
Sm2 Sm 0.667 0.667 0.999
Er1 Er 0.469 0.778 0.633
Er2 Er 0.778 0.120 0.633
Er3 Er 0.120 0.469 0.633
Er4 Er 0.880 0.531 0.367
Er5 Er 0.222 0.880 0.367
Er6 Er 0.531 0.222 0.367
Te1 Te 0.256 0.624 0.183
Te2 Te 0.937 0.256 0.183
Te3 Te 0.624 0.937 0.183
Te4 Te 0.376 0.063 0.817
Te5 Te 0.063 0.744 0.817
Te6 Te 0.744 0.376 0.817
```